First-principles (GGA+U) data for a geometry-optimized NaMnCF2 structure, as listed in the Alexandria database.

Geometry as CIF:
```
data_NaMnCF2
_chemical_formula_sum 'Na1 Mn1 C1 F2'
_cell_length_a 4.6210
_cell_length_b 4.6210
_cell_length_c 3.8565
_cell_angle_alpha 90.00
_cell_angle_beta 90.00
_cell_angle_gamma 90.00
_symmetry_space_group_name_H-M 'P 4/m m m'
_symmetry_Int_Tables_number 123
_symmetry_space_group_name_Hall '-P 4 2'
loop_
_atom_site_label
_atom_site_type_symbol
_atom_site_fract_x
_atom_site_fract_y
_atom_site_fract_z
Na1 Na 0.0000 0.0000 0.0000
Mn1 Mn 0.5000 0.5000 0.0000
C1 C 0.5000 0.5000 0.5000
F1 F 0.0000 0.5000 0.5000
```

M_tot: 4.0 μB/f.u.
Raw total energy: -4.54 eV/atom